The following is a PBE calculation of a relaxed structure of Hf3Nb2Ga7, from Alexandria via LeMat-Bulk.

Unit cell a=5.0293 b=4.8007 c=9.8944 alpha=104.04 beta=90.00 gamma=90.00
With the nearest neighbours (Å) after each atom.
Element x y z (fractional)
Hf (0.5000, 0.5000, 0.0000)  8 Ga 2.87-2.89, 2 Hf 3.08
Hf (0.5000, 0.6602, 0.3205)  6 Ga 2.75-3.01, 1 Hf 3.08
Hf (0.5000, 0.3398, 0.6795)  6 Ga 2.75-3.01, 1 Hf 3.08
Nb (0.0000, 0.8595, 0.7189)  8 Ga 2.70-2.82
Nb (0.0000, 0.1405, 0.2811)  8 Ga 2.70-2.82
Ga (0.0000, 0.4261, 0.8523)  2 Nb 2.72, 4 Ga 2.76-2.84, 4 Hf 2.89-3.01
Ga (0.0000, 0.7178, 0.4357)  3 Ga 2.70-2.76, 3 Nb 2.72-2.82, 2 Hf 2.75
Ga (0.0000, 0.0000, 0.0000)  2 Nb 2.70, 8 Ga 2.79-2.97
Ga (0.0000, 0.5739, 0.1477)  2 Nb 2.72, 4 Ga 2.76-2.84, 4 Hf 2.89-3.01
Ga (0.5000, 0.0821, 0.1643)  2 Nb 2.75, 4 Hf 2.83-2.87, 2 Ga 2.97
Ga (0.5000, 0.9179, 0.8357)  2 Nb 2.75, 4 Hf 2.83-2.87, 2 Ga 2.97
Ga (0.0000, 0.2822, 0.5643)  3 Ga 2.70-2.76, 3 Nb 2.72-2.82, 2 Hf 2.75

Computed properties:
ΔH_f (0 K): 0.067 eV/atom
final energy: -5.865 eV per atom

***

The following is a PBE calculation of a relaxed structure of HfNbGa2, from Alexandria via LeMat-Bulk.

Unit cell a=3.6610 b=3.8289 c=5.3734 alpha=90.00 beta=109.96 gamma=90.00
With the nearest neighbours (Å) after each atom.
Element x y z (fractional)
Hf (0.4287, 0.5000, 0.3981)  7 Ga 2.69-2.99
Nb (0.7343, 0.0000, 0.0060)  7 Ga 2.74-2.95
Ga (0.1638, 0.5000, 0.8655)  2 Ga 2.50, 1 Hf 2.69, 4 Nb 2.74
Ga (0.0042, 0.0000, 0.5485)  2 Ga 2.50, 1 Nb 2.74, 4 Hf 2.76

Computed properties:
ΔH_f (0 K): -0.432 eV/atom
final energy: -6.951 eV per atom

***

> Among the records above, which one has the highest ΔH_f (0 K)?

Hf3Nb2Ga7

***

> Which value of ΔH_f (0 K) does entry 2 give?

-0.432 eV/atom